First-principles (PBE) data for Cd2AgTe after structural relaxation, as listed in the Alexandria database.

Summary:
As for the density: 7.790 Mg/m³. For the uncorrected formation energy, the calculation gives 0.139 eV per atom. As for the energy: -1.82 eV/atom. The size of the total moment is 0.000 μB/cell.

```
Cd2AgTe
1.0
5.1771 0.0000 0.0000
2.5885 4.4835 0.0000
2.5885 1.4945 4.2271
Te Ag Cd
1 1 2
Cartesian
7.7656 4.4835 3.1703
5.1771 2.9890 2.1135
0.0000 0.0000 0.0000
2.5885 1.4945 1.0568
```


First-principles (PBE) data for CdAgTe2 after structural relaxation, as listed in the Alexandria database.

Summary:
As for the density: 6.747 Mg/m³. For the uncorrected formation energy, the calculation gives -0.030 eV per atom. As for the energy: -2.54 eV/atom. The size of the total moment is 0.000 μB/cell.

```
CdAgTe2
1.0
-2.0001 1.1444 -4.2104
-2.9690 -2.1036 -3.1301
-6.1390 2.8355 3.0187
Te Ag Cd
2 1 1
Cartesian
-5.3916 -0.7004 -6.9413
-7.8067 1.0926 -3.7167
-5.5131 0.9052 -2.2232
-2.9198 0.5577 -0.9421
```


- density of number 1 (Cd2AgTe)?
  7.790 Mg/m³


- Which of these has the highest density?
  Cd2AgTe